# PBE InAuNO2, optimized geometry
# **Calculated density**: 7.771 g cm⁻³
# **Calculated total energy**: -20.44 eV per cell
# **N(E_F)**: 3.1 states/eV/f.u.
data_InAuNO2
_chemical_formula_sum 'In1 Au1 N1 O2'
_symmetry_space_group_name_H-M 'P 4/m m m'
_symmetry_Int_Tables_number 123
_symmetry_space_group_name_Hall '-P 4 2'
_cell_length_a 4.205
_cell_length_b 4.205
_cell_length_c 4.323
_cell_angle_alpha 90.00
_cell_angle_beta 90.00
_cell_angle_gamma 90.00
loop_
_atom_site_label
_atom_site_type_symbol
_atom_site_fract_x
_atom_site_fract_y
_atom_site_fract_z
In1 In 0.000 0.000 0.000
Au1 Au 0.500 0.500 0.500
N1 N 0.000 0.000 0.500
O1 O 0.000 0.500 0.000

***

# PBE InAuNO2, optimized geometry
# **Calculated density**: 8.465 g cm⁻³
# **Calculated total energy**: -20.88 eV per cell
# **N(E_F)**: 1.9 states/eV/f.u.
data_InAuNO2
_chemical_formula_sum 'In1 Au1 N1 O2'
_symmetry_space_group_name_H-M 'P 4/m m m'
_symmetry_Int_Tables_number 123
_symmetry_space_group_name_Hall '-P 4 2'
_cell_length_a 4.158
_cell_length_b 4.158
_cell_length_c 4.059
_cell_angle_alpha 90.00
_cell_angle_beta 90.00
_cell_angle_gamma 90.00
loop_
_atom_site_label
_atom_site_type_symbol
_atom_site_fract_x
_atom_site_fract_y
_atom_site_fract_z
In1 In 0.000 0.000 0.000
Au1 Au 0.500 0.500 0.500
N1 N 0.500 0.500 0.000
O1 O 0.000 0.500 0.500

***

# PBE PaInAuN, optimized geometry
# **Calculated density**: 11.840 g cm⁻³
# **Calculated total energy**: -54.66 eV per cell
# **N(E_F)**: 3.2 states/eV/f.u.
data_PaInAuN
_chemical_formula_sum 'Pa2 In2 Au2 N2'
_symmetry_space_group_name_H-M 'P 4/n m m'
_symmetry_Int_Tables_number 129
_cell_length_a 4.144
_cell_length_b 4.144
_cell_length_c 9.093
_cell_angle_alpha 90.00
_cell_angle_beta 90.00
_cell_angle_gamma 90.00
loop_
_symmetry_equiv_pos_as_xyz
'x,y,z'
'-x,-y,-z'
'-y+1/2,x,z'
'y+1/2,-x,-z'
'-x+1/2,-y+1/2,z'
'x+1/2,y+1/2,-z'
'y,-x+1/2,z'
'-y,x+1/2,-z'
'x+1/2,-y,-z'
'-x+1/2,y,z'
'-y,-x,-z'
'y,x,z'
'-x,y+1/2,-z'
'x,-y+1/2,z'
'y+1/2,x+1/2,-z'
'-y+1/2,-x+1/2,z'
loop_
_atom_site_label
_atom_site_type_symbol
_atom_site_fract_x
_atom_site_fract_y
_atom_site_fract_z
Pa1 Pa 0.250 0.250 0.114
In1 In 0.250 0.750 0.500
Au1 Au 0.250 0.250 0.721
N1 N 0.250 0.750 0.000

***

# PBE Pu2InAu2N2, optimized geometry
# **Calculated density**: 11.684 g cm⁻³
# **Calculated total energy**: -53.83 eV per cell
# **N(E_F)**: 25.2 states/eV/f.u.
data_Pu2InAu2N2
_chemical_formula_sum 'Pu2 In1 Au2 N2'
_symmetry_space_group_name_H-M 'P -3 m 1'
_symmetry_Int_Tables_number 164
_symmetry_space_group_name_Hall '-P 3 2"'
_cell_length_a 3.6450
_cell_length_b 3.6450
_cell_length_c 12.6581
_cell_angle_alpha 90.00
_cell_angle_beta 90.00
_cell_angle_gamma 120.00
loop_
_atom_site_label
_atom_site_type_symbol
_atom_site_fract_x
_atom_site_fract_y
_atom_site_fract_z
Pu1 Pu 0.3333 0.6667 0.2807
In1 In 0.0000 0.0000 0.5000
Au1 Au 0.0000 0.0000 0.1074
N1 N 0.3333 0.6667 0.6947

***

# PBE InAuSN2, optimized geometry
# **Calculated density**: 6.391 g cm⁻³
# **Calculated total energy**: -18.88 eV per cell
# **N(E_F)**: 2.1 states/eV/f.u.
# **ΔE to the lowest computed polymorph**: 162 meV per atom
data_InAuSN2
_chemical_formula_sum 'In1 Au1 S1 N2'
_symmetry_space_group_name_H-M 'P 4/m m m'
_symmetry_Int_Tables_number 123
_symmetry_space_group_name_Hall '-P 4 2'
_cell_length_a 4.186
_cell_length_b 4.186
_cell_length_c 5.514
_cell_angle_alpha 90.00
_cell_angle_beta 90.00
_cell_angle_gamma 90.00
loop_
_atom_site_label
_atom_site_type_symbol
_atom_site_fract_x
_atom_site_fract_y
_atom_site_fract_z
In1 In 0.000 0.000 0.000
Au1 Au 0.500 0.500 0.500
S1 S 0.000 0.000 0.500
N1 N 0.000 0.500 0.000

***

# PBE InAuS2N, optimized geometry
# **Calculated density**: 6.506 g cm⁻³
# **Calculated total energy**: -18.18 eV per cell
# **N(E_F)**: 3.0 states/eV/f.u.
data_InAuS2N
_chemical_formula_sum 'In1 Au1 S2 N1'
_symmetry_space_group_name_H-M 'P 4/m m m'
_symmetry_Int_Tables_number 123
_symmetry_space_group_name_Hall '-P 4 2'
_cell_length_a 5.120
_cell_length_b 5.120
_cell_length_c 3.796
_cell_angle_alpha 90.00
_cell_angle_beta 90.00
_cell_angle_gamma 90.00
loop_
_atom_site_label
_atom_site_type_symbol
_atom_site_fract_x
_atom_site_fract_y
_atom_site_fract_z
In1 In 0.000 0.000 0.000
Au1 Au 0.500 0.500 0.500
S1 S 0.000 0.500 0.500
N1 N 0.500 0.500 0.000

***

N(E_F) of number 6 (InAuS2N)? 3.0 states/eV/f.u.

***

Which formula does entry 4 have? Pu2InAu2N2

***

What is the calculated density in the fourth record? 11.684 g cm⁻³